Compound: CeSi2Rh3
Source: Alexandria
Functional: PBE
Structure: optimized geometry

a b c (Å): 6.6652 6.6652 6.6652
angles (deg): 130.16 114.95 86.17
With the nearest neighbours (Å) after each atom.
Fractional positions:
Rh 0.7134 0.0000 0.7134  4 Si 2.43-2.45
Rh 0.5000 0.5000 0.5000  4 Si 2.47
Rh 0.2866 0.0000 0.2866  4 Si 2.43-2.45
Si 0.0790 0.2721 0.1931  6 Rh 2.43-2.47, 1 Si 2.66
Rh 0.7866 0.5000 0.2866  4 Si 2.43-2.45
Ce 0.2500 0.9597 0.7097  6 Rh 3.11-3.14, 6 Si 3.18-3.35
Rh 0.2134 0.5000 0.7134  4 Si 2.43-2.45
Rh 0.0000 0.5000 0.0000  4 Si 2.47
Si 0.4210 0.6141 0.1931  6 Rh 2.43-2.47, 1 Si 2.66
Si 0.5790 0.3859 0.8069  6 Rh 2.43-2.47, 1 Si 2.66
Si 0.9210 0.7279 0.8069  6 Rh 2.43-2.47, 1 Si 2.66
Ce 0.7500 0.0403 0.2903  6 Rh 3.11-3.14, 6 Si 3.18-3.35

Output
The value obtained for the volume is 196 Å³/cell. The value obtained for the magnetic moment is 0.81 μB/f.u. For the total energy, the calculation gives -7.492 eV per atom. As for the space group: Imma (74).



Compound: CaAgI3
Source: Alexandria
Functional: PBE
Structure: optimized geometry

a b c (Å): 6.0760 6.0760 6.0760
angles (deg): 90.00 90.00 90.00
With the nearest neighbours (Å) after each atom.
Fractional positions:
I 0.0000 0.0000 0.5000  2 Ca 3.04
Ca 0.0000 0.0000 0.0000  6 I 3.04
I 0.0000 0.5000 0.0000  2 Ca 3.04
Ag 0.5000 0.5000 0.5000  12 I 4.30
I 0.5000 0.0000 0.0000  2 Ca 3.04

Output
The value obtained for the volume is 224 Å³/cell. The value obtained for the magnetic moment is 0.00 μB/f.u. For the total energy, the calculation gives -2.500 eV per atom. As for the space group: Pm-3m (221).



Compound: Ac4YSe7
Source: Alexandria
Functional: PBE
Structure: optimized geometry

a b c (Å): 4.3012 7.5423 12.7234
angles (deg): 104.75 90.00 106.57
With the nearest neighbours (Å) after each atom.
Fractional positions:
Se 0.3407 0.6813 0.9519  5 Ac 3.11-3.34
Y 0.8836 0.7672 0.5746  6 Se 2.85-2.97
Se 0.9620 0.9239 0.2152  4 Ac 3.01-3.08
Se 0.7399 0.4799 0.3625  1 Y 2.94, 4 Ac 3.15-3.29
Se 0.0390 0.0780 0.7674  1 Y 2.85, 3 Ac 3.06-3.13
Ac 0.7019 0.4037 0.8070  7 Se 3.13-3.31
Se 0.6636 0.3273 0.0520  5 Ac 3.12-3.31
Ac 0.3070 0.6141 0.2017  7 Se 3.08-3.34
Ac 0.1086 0.2172 0.4329  6 Se 3.01-3.15
Se 0.4774 0.9548 0.4915  2 Y 2.89, 2 Ac 3.09
Se 0.2742 0.5484 0.6497  2 Y 2.97, 3 Ac 3.14-3.29
Ac 0.0021 0.0041 0.9936  6 Se 3.02-3.12

Output
The value obtained for the volume is 381 Å³/cell. The value obtained for the magnetic moment is 0.00 μB/f.u. For the total energy, the calculation gives -5.912 eV per atom. As for the space group: Cm (8).



Compound: KTa2Rh
Source: Alexandria
Functional: PBE
Structure: optimized geometry

a b c (Å): 4.9670 4.9670 2.9834
angles (deg): 90.00 90.00 90.00
With the nearest neighbours (Å) after each atom.
Fractional positions:
K 0.5000 0.0000 0.5000  8 Ta 2.90, 2 K 2.98
Ta 0.5000 0.5000 0.0000  4 K 2.90, 4 Rh 2.90, 2 Ta 2.98
Ta 0.0000 0.0000 0.0000  4 K 2.90, 4 Rh 2.90, 2 Ta 2.98
Rh 0.0000 0.5000 0.5000  8 Ta 2.90, 2 Rh 2.98

Output
The value obtained for the energy of formation is 1.309 eV/atom. The value obtained for the volume is 74 Å³/cell. The value obtained for the magnetic moment is 0.00 μB/f.u. As for the space group: P4/mmm (123).



Compound: ScNbBSb2
Source: Alexandria
Functional: PBE
Structure: optimized geometry

a b c (Å): 5.3035 5.1034 5.3035
angles (deg): 90.00 90.00 90.00
With the nearest neighbours (Å) after each atom.
Fractional positions:
Sb 0.0000 0.0000 0.5000  2 Nb 2.65
Sc 0.0000 0.5000 0.0000  2 Nb 2.55
Nb 0.0000 0.0000 0.0000  2 Sc 2.55, 4 Sb 2.65
Sb 0.5000 0.0000 0.0000  2 Nb 2.65
B 0.5000 0.5000 0.5000  8 Sb 3.68, 4 Sc 3.75

Output
The value obtained for the volume is 144 Å³/cell. The value obtained for the magnetic moment is 0.00 μB/f.u. For the total energy, the calculation gives -5.046 eV per atom. As for the space group: P4/mmm (123).



Compound: LiY2
Source: Alexandria
Functional: PBE
Structure: optimized geometry

a b c (Å): 5.0911 5.0911 5.0911
angles (deg): 60.00 60.00 60.00
With the nearest neighbours (Å) after each atom.
Fractional positions:
Y 0.2500 0.2500 0.2500  4 Li 3.12
Y 0.7500 0.7500 0.7500  4 Li 3.12
Li 0.0000 0.0000 0.0000  8 Y 3.12

Output
The value obtained for the energy of formation is 0.504 eV/atom. The value obtained for the volume is 93 Å³/cell. The value obtained for the magnetic moment is 1.23 μB/f.u. As for the space group: Fm-3m (225).



Compound: BaPr4Hg5
Source: Alexandria
Functional: PBE
Structure: optimized geometry

a b c (Å): 3.9164 3.9164 19.7602
angles (deg): 90.00 90.00 90.00
With the nearest neighbours (Å) after each atom.
Fractional positions:
Hg 0.5000 0.5000 0.3072  8 Pr 3.36-3.37, 1 Hg 3.72
Hg 0.5000 0.5000 0.8810  4 Pr 3.31, 4 Ba 3.63
Ba 0.0000 0.0000 0.0000  8 Hg 3.63, 4 Ba 3.92
Hg 0.5000 0.5000 0.5000  8 Pr 3.35
Hg 0.5000 0.5000 0.1190  4 Pr 3.31, 4 Ba 3.63
Pr 0.0000 0.0000 0.4042  8 Hg 3.35-3.37
Pr 0.0000 0.0000 0.5958  8 Hg 3.35-3.37
Pr 0.0000 0.0000 0.7893  8 Hg 3.31-3.36
Hg 0.5000 0.5000 0.6928  8 Pr 3.36-3.37, 1 Hg 3.72
Pr 0.0000 0.0000 0.2107  8 Hg 3.31-3.36

Output
The value obtained for the energy of formation is -0.474 eV/atom. The value obtained for the volume is 303 Å³/cell. The value obtained for the magnetic moment is 1.50 μB/f.u. As for the space group: P4/mmm (123).



Compound: RbNaI
Source: Alexandria
Functional: PBE
Structure: optimized geometry

a b c (Å): 5.6436 5.5841 5.5841
angles (deg): 120.00 90.00 90.00
With the nearest neighbours (Å) after each atom.
Fractional positions:
Na 0.1666 0.0000 0.0000  3 I 3.22
I 0.1666 0.3333 0.6667  3 Na 3.22
Rb 0.6668 0.6667 0.3333  6 Na 4.28-4.29, 6 I 4.28-4.29

Output
The value obtained for the volume is 152 Å³/cell. The value obtained for the magnetic moment is 0.52 μB/f.u. For the total energy, the calculation gives -1.991 eV per atom. As for the space group: P-6m2 (187).



Compound: HoMgScOs
Source: Alexandria
Functional: PBE
Structure: optimized geometry

a b c (Å): 4.8490 4.8490 4.8490
angles (deg): 60.00 60.00 60.00
With the nearest neighbours (Å) after each atom.
Fractional positions:
Os 0.2500 0.2500 0.2500  4 Sc 2.97, 4 Ho 2.97
Sc 0.0000 0.0000 0.0000  4 Mg 2.97, 4 Os 2.97
Ho 0.5000 0.5000 0.5000  4 Os 2.97, 4 Mg 2.97
Mg 0.7500 0.7500 0.7500  4 Ho 2.97, 4 Sc 2.97

Output
The value obtained for the energy of formation is -0.197 eV/atom. The value obtained for the volume is 81 Å³/cell. The value obtained for the magnetic moment is 0.00 μB/f.u. As for the space group: F-43m (216).



Compound: CaLa2PmHg4
Source: Alexandria
Functional: PBE
Structure: optimized geometry

a b c (Å): 5.4641 5.4641 9.4499
angles (deg): 73.20 73.20 60.00
With the nearest neighbours (Å) after each atom.
Fractional positions:
Hg 0.1261 0.1261 0.6217  3 Pm 3.34, 4 La 3.37-3.38, 1 Ca 3.37
Hg 0.8739 0.8739 0.3783  3 Pm 3.34, 4 La 3.37-3.38, 1 Ca 3.37
Ca 0.0000 0.0000 0.0000  8 Hg 3.36-3.37
Pm 0.5000 0.5000 0.5000  8 Hg 3.31-3.34
La 0.7478 0.7478 0.7565  8 Hg 3.32-3.38
Hg 0.3762 0.3762 0.8713  1 Pm 3.31, 4 La 3.32, 3 Ca 3.36
Hg 0.6238 0.6238 0.1287  1 Pm 3.31, 4 La 3.32, 3 Ca 3.36
La 0.2522 0.2522 0.2435  8 Hg 3.32-3.38

Output
The value obtained for the energy of formation is -0.524 eV/atom. The value obtained for the volume is 230 Å³/cell. The value obtained for the magnetic moment is 0.01 μB/f.u. As for the space group: R-3m (166).



Compound: Mg2Zn2Ag
Source: Alexandria
Functional: PBE
Structure: optimized geometry

a b c (Å): 5.3043 5.4712 7.7969
angles (deg): 66.20 70.11 61.00
With the nearest neighbours (Å) after each atom.
Fractional positions:
Mg 0.5429 0.7891 0.8576  6 Zn 2.82-3.04, 3 Ag 2.88-2.99, 2 Mg 3.16
Ag 0.2639 0.7500 0.2500  4 Zn 2.73-2.78, 6 Mg 2.88-2.99
Zn 0.2687 0.2384 0.5365  2 Zn 2.68-2.92, 2 Ag 2.73-2.78, 5 Mg 2.82-2.93
Zn 0.0435 0.2616 0.9635  2 Zn 2.68-2.92, 2 Ag 2.73-2.78, 5 Mg 2.82-2.93
Ag 0.7361 0.2500 0.7500  4 Zn 2.73-2.78, 6 Mg 2.88-2.99
Mg 0.8104 0.2891 0.3576  6 Zn 2.82-3.04, 3 Ag 2.88-2.99, 2 Mg 3.16
Zn 0.7313 0.7616 0.4635  2 Zn 2.68-2.92, 2 Ag 2.73-2.78, 5 Mg 2.82-2.93
Mg 0.4571 0.2109 0.1424  6 Zn 2.82-3.04, 3 Ag 2.88-2.99, 2 Mg 3.16
Zn 0.9565 0.7384 0.0365  2 Zn 2.68-2.92, 2 Ag 2.73-2.78, 5 Mg 2.82-2.93
Mg 0.1896 0.7109 0.6424  6 Zn 2.82-3.04, 3 Ag 2.88-2.99, 2 Mg 3.16

Output
The value obtained for the energy of formation is -0.116 eV/atom. The value obtained for the volume is 178 Å³/cell. The value obtained for the magnetic moment is 0.00 μB/f.u. As for the space group: C2/c (15).



Compound: YTa2Cu
Source: Alexandria
Functional: PBE
Structure: optimized geometry

a b c (Å): 3.0641 3.6178 7.0789
angles (deg): 90.00 90.00 90.00
With the nearest neighbours (Å) after each atom.
Fractional positions:
Ta 0.5000 0.5000 0.2097  6 Ta 2.84-3.06, 1 Cu 2.97
Y 0.0000 0.0000 0.5125  2 Y 3.06, 4 Cu 3.08, 5 Ta 3.20-3.37
Cu 0.5000 0.5000 0.7897  5 Ta 2.76-2.97, 2 Cu 3.06, 4 Y 3.08
Ta 0.0000 0.0000 0.9882  4 Cu 2.76, 6 Ta 2.84-3.06

Output
The value obtained for the energy of formation is 0.185 eV/atom. The value obtained for the volume is 78 Å³/cell. The value obtained for the magnetic moment is 0.00 μB/f.u. As for the space group: Pmm2 (25).